A plane-wave DFT calculation with PBE was carried out for an optimized crystal structure of Rb2TbGaS4.

Lattice parameters (Å, degrees): 8.3176 8.3176 8.4264 117.74 117.74 92.65
Last column: nearest neighbours and their distance in Å.
Positions (direct):
Rb 0.0000 0.0000 0.0000  4 S 3.06-3.21
Rb 0.0000 0.0000 0.5000  4 S 3.06-3.21
Rb 0.0000 0.5000 0.0000  6 S 3.18-3.44
Rb 0.5000 0.0000 0.5000  6 S 3.18-3.44
Tb 0.5000 0.5000 0.0000  6 S 2.74-2.91
Tb 0.5000 0.5000 0.5000  6 S 2.74-2.91
Ga 0.0000 0.5000 0.5000  2 S 2.31
Ga 0.5000 0.0000 0.0000  2 S 2.31
S 0.2154 0.6899 0.5032  1 Ga 2.31
S 0.2703 0.3076 0.5508  2 Tb 2.74-2.81, 1 Ga 2.81, 1 Rb 3.06
S 0.3076 0.2703 0.0508  2 Tb 2.74-2.81, 1 Ga 2.81, 1 Rb 3.06
S 0.3101 0.7846 0.9968  1 Ga 2.31
S 0.6899 0.2154 0.0032  1 Ga 2.31
S 0.6924 0.7297 0.9492  2 Tb 2.74-2.81, 1 Ga 2.81, 1 Rb 3.06
S 0.7297 0.6924 0.4492  2 Tb 2.74-2.81, 1 Ga 2.81, 1 Rb 3.06
S 0.7846 0.3101 0.4968  1 Ga 2.31

For the total magnetic moment, the calculation gives 0.0 Bohr magnetons per cell. The value obtained for the uncorrected formation energy is -1.16 eV/atom. Its space group is No. 15.

=====

A plane-wave DFT calculation with PBE was carried out for an optimized crystal structure of Rb2ThGaS5.

Lattice parameters (Å, degrees): 10.2852 10.2852 14.3745 90.00 90.00 157.49
Last column: nearest neighbours and their distance in Å.
Positions (direct):
Rb 0.1252 0.8748 0.5000  7 S 3.37-3.70
Rb 0.1266 0.8734 0.1424  6 S 3.39-3.47
Rb 0.8734 0.1266 0.6424  6 S 3.39-3.47
Rb 0.8748 0.1252 0.0000  7 S 3.37-3.70
Th 0.1972 0.8028 0.8412  6 S 2.70-2.96
Th 0.8028 0.1972 0.3412  6 S 2.70-2.96
Ga 0.4356 0.5644 0.2352  4 S 2.22-2.41
Ga 0.5644 0.4356 0.7352  4 S 2.22-2.41
S 0.0507 0.9493 0.8255  2 Ga 2.41
S 0.3074 0.6926 0.4685  2 Th 2.72
S 0.3212 0.6788 0.2021  1 Ga 2.36
S 0.3302 0.6698 0.8224  1 Th 2.70
S 0.4932 0.5068 0.1035  1 Ga 2.22
S 0.5068 0.4932 0.6035  1 Ga 2.22
S 0.6698 0.3302 0.3224  1 Th 2.70
S 0.6788 0.3212 0.7021  1 Ga 2.36
S 0.6926 0.3074 0.9685  2 Th 2.72
S 0.9493 0.0507 0.3255  2 Ga 2.41

For the total magnetic moment, the calculation gives 2.2 Bohr magnetons per cell. The value obtained for the uncorrected formation energy is -1.18 eV/atom. Its space group is No. 36.

=====

A plane-wave DFT calculation with PBE was carried out for an optimized crystal structure of RbThGaS4.

Lattice parameters (Å, degrees): 6.6083 6.7194 9.2440 90.00 108.12 90.00
Last column: nearest neighbours and their distance in Å.
Positions (direct):
Rb 0.2337 0.2500 0.4388  8 S 3.29-3.68
Rb 0.7663 0.7500 0.5612  8 S 3.29-3.68
Th 0.2677 0.2500 0.9468  6 S 2.79-2.89
Th 0.7323 0.7500 0.0532  6 S 2.79-2.89
Ga 0.2748 0.7500 0.1691  4 S 2.25-2.29
Ga 0.7252 0.2500 0.8309  4 S 2.25-2.29
S 0.0596 0.7500 0.9218  1 Ga 2.29
S 0.0721 0.7500 0.3243  1 Ga 2.25
S 0.4888 0.5087 0.8006  1 Ga 2.29
S 0.4888 0.9913 0.8006  1 Ga 2.29
S 0.5112 0.0087 0.1994  1 Ga 2.29
S 0.5112 0.4913 0.1994  1 Ga 2.29
S 0.9279 0.2500 0.6757  1 Ga 2.25
S 0.9404 0.2500 0.0782  1 Ga 2.29

For the total magnetic moment, the calculation gives 0.0 Bohr magnetons per cell. The value obtained for the uncorrected formation energy is -1.42 eV/atom. Its space group is No. 11.

=====

A plane-wave DFT calculation with PBE was carried out for an optimized crystal structure of Rb2TiGaS5.

Lattice parameters (Å, degrees): 10.0051 10.0051 13.9532 90.00 90.00 159.00
Last column: nearest neighbours and their distance in Å.
Positions (direct):
Rb 0.1257 0.8743 0.5000  7 S 3.32-3.59, 2 Rb 3.65
Rb 0.1351 0.8649 0.1183  7 S 3.36-3.63, 2 Rb 3.65
Rb 0.8649 0.1351 0.6183  7 S 3.36-3.63, 2 Rb 3.65
Rb 0.8743 0.1257 0.0000  7 S 3.32-3.59, 2 Rb 3.65
Ti 0.2151 0.7849 0.8253  3 S 2.20-2.42
Ti 0.7849 0.2151 0.3253  3 S 2.20-2.42
Ga 0.4247 0.5753 0.2484  4 S 2.22-2.35
Ga 0.5753 0.4247 0.7484  4 S 2.22-2.35
S 0.0725 0.9275 0.8502  2 Ga 2.31
S 0.2948 0.7052 0.4385  2 Ti 2.42
S 0.3097 0.6903 0.2019  1 Ga 2.35, 2 Ti 2.55
S 0.3267 0.6733 0.8130  1 Ti 2.20
S 0.4917 0.5083 0.1199  1 Ga 2.22
S 0.5083 0.4917 0.6199  1 Ga 2.22
S 0.6733 0.3267 0.3130  1 Ti 2.20
S 0.6903 0.3097 0.7019  1 Ga 2.35, 2 Ti 2.55
S 0.7052 0.2948 0.9385  2 Ti 2.42
S 0.9275 0.0725 0.3502  2 Ga 2.31

For the total magnetic moment, the calculation gives 0.3 Bohr magnetons per cell. The value obtained for the uncorrected formation energy is -0.99 eV/atom. Its space group is No. 36.

=====

A plane-wave DFT calculation with PBE was carried out for an optimized crystal structure of Rb2TiGaS4.

Lattice parameters (Å, degrees): 13.7277 12.2908 7.5235 84.04 62.93 33.03
Last column: nearest neighbours and their distance in Å.
Positions (direct):
Rb 0.0537 0.0537 0.6963  8 S 3.62-3.85
Rb 0.3037 0.3037 0.9463  8 S 3.62-3.85
Rb 0.6963 0.6963 0.0537  8 S 3.62-3.85
Rb 0.9463 0.9463 0.3037  8 S 3.62-3.85
Ti 0.1250 0.1250 0.1250  4 S 2.31
Ti 0.8750 0.8750 0.8750  4 S 2.31
Ga 0.3750 0.3750 0.3750  4 S 2.36
Ga 0.6250 0.6250 0.6250  4 S 2.36
S 0.0237 0.3274 0.4101  1 Ti 2.31, 1 Ga 2.36
S 0.2612 0.5899 0.6726  1 Ti 2.31, 1 Ga 2.36
S 0.3274 0.0237 0.7388  1 Ti 2.31, 1 Ga 2.36
S 0.4101 0.7388 0.0237  1 Ti 2.31, 1 Ga 2.36
S 0.5899 0.2612 0.9763  1 Ti 2.31, 1 Ga 2.36
S 0.6726 0.9763 0.2612  1 Ti 2.31, 1 Ga 2.36
S 0.7388 0.4101 0.3274  1 Ti 2.31, 1 Ga 2.36
S 0.9763 0.6726 0.5899  1 Ti 2.31, 1 Ga 2.36

For the total magnetic moment, the calculation gives 0.0 Bohr magnetons per cell. The value obtained for the uncorrected formation energy is -1.13 eV/atom. Its space group is No. 70.

=====

A plane-wave DFT calculation with PBE was carried out for an optimized crystal structure of Rb2TmGaS4.

Lattice parameters (Å, degrees): 8.2572 8.2572 8.2810 118.33 118.33 92.33
Last column: nearest neighbours and their distance in Å.
Positions (direct):
Rb 0.0000 0.0000 0.0000  6 S 3.18-3.33
Rb 0.0000 0.0000 0.5000  6 S 3.18-3.33
Rb 0.0000 0.5000 0.0000  6 S 3.05-3.30
Rb 0.5000 0.0000 0.5000  6 S 3.05-3.30
Tm 0.0000 0.5000 0.5000  6 S 2.71-2.84
Tm 0.5000 0.0000 0.0000  6 S 2.71-2.84
Ga 0.5000 0.5000 0.0000  2 S 2.40
Ga 0.5000 0.5000 0.5000  2 S 2.40
S 0.2624 0.7233 0.9552  2 Tm 2.71-2.76, 1 Ga 2.76
S 0.2767 0.7376 0.5448  2 Tm 2.71-2.76, 1 Ga 2.76
S 0.2857 0.3157 0.5201  1 Ga 2.40
S 0.3157 0.2857 0.0201  1 Ga 2.40
S 0.6843 0.7143 0.9799  1 Ga 2.40
S 0.7143 0.6843 0.4799  1 Ga 2.40
S 0.7233 0.2624 0.4552  2 Tm 2.71-2.76, 1 Ga 2.76
S 0.7376 0.2767 0.0448  2 Tm 2.71-2.76, 1 Ga 2.76

For the total magnetic moment, the calculation gives 0.0 Bohr magnetons per cell. The value obtained for the uncorrected formation energy is -1.16 eV/atom. Its space group is No. 15.

=====

A plane-wave DFT calculation with PBE was carried out for an optimized crystal structure of Rb3Tm3GaS8.

Lattice parameters (Å, degrees): 9.0720 9.0720 9.0720 51.00 51.00 51.00
Last column: nearest neighbours and their distance in Å.
Positions (direct):
Rb 0.0000 0.5000 0.5000  6 S 3.32-3.34
Rb 0.5000 0.0000 0.5000  6 S 3.32-3.34
Rb 0.5000 0.5000 0.0000  6 S 3.32-3.34
Tm 0.0000 0.0000 0.5000  6 S 2.71-2.72
Tm 0.0000 0.5000 0.0000  6 S 2.71-2.72
Tm 0.5000 0.0000 0.0000  6 S 2.71-2.72
Ga 0.5000 0.5000 0.5000  6 S 2.56
S 0.2301 0.2301 0.2301  3 Tm 2.71
S 0.2445 0.7178 0.7178  1 Ga 2.56, 2 Tm 2.72
S 0.2823 0.2822 0.7555  1 Ga 2.56, 2 Tm 2.72
S 0.2823 0.7555 0.2823  1 Ga 2.56, 2 Tm 2.72
S 0.7178 0.2445 0.7178  1 Ga 2.56, 2 Tm 2.72
S 0.7178 0.7177 0.2445  1 Ga 2.56, 2 Tm 2.72
S 0.7555 0.2823 0.2822  1 Ga 2.56, 2 Tm 2.72
S 0.7699 0.7699 0.7699  3 Tm 2.71

For the total magnetic moment, the calculation gives 0.0 Bohr magnetons per cell. The value obtained for the uncorrected formation energy is -1.47 eV/atom. Its space group is No. 166.

=====

A plane-wave DFT calculation with PBE was carried out for an optimized crystal structure of Rb2UGaS4.

Lattice parameters (Å, degrees): 14.4885 12.9753 7.8141 84.48 63.05 32.47
Last column: nearest neighbours and their distance in Å.
Positions (direct):
Rb 0.0553 0.0553 0.6947  8 S 3.66-3.99
Rb 0.3053 0.3053 0.9447  8 S 3.66-3.99
Rb 0.6947 0.6947 0.0553  8 S 3.66-3.99
Rb 0.9447 0.9447 0.3053  8 S 3.66-3.99
U 0.1250 0.1250 0.1250  4 S 2.61
U 0.8750 0.8750 0.8750  4 S 2.61
Ga 0.3750 0.3750 0.3750  4 S 2.35
Ga 0.6250 0.6250 0.6250  4 S 2.35
S 0.0073 0.6403 0.5443  1 Ga 2.35, 1 U 2.61
S 0.3081 0.5443 0.6403  1 Ga 2.35, 1 U 2.61
S 0.3597 0.9927 0.6919  1 Ga 2.35, 1 U 2.61
S 0.4557 0.6919 0.9927  1 Ga 2.35, 1 U 2.61
S 0.5443 0.3081 0.0073  1 Ga 2.35, 1 U 2.61
S 0.6403 0.0073 0.3081  1 Ga 2.35, 1 U 2.61
S 0.6919 0.4557 0.3597  1 Ga 2.35, 1 U 2.61
S 0.9927 0.3597 0.4557  1 Ga 2.35, 1 U 2.61

For the total magnetic moment, the calculation gives 5.9 Bohr magnetons per cell. The value obtained for the uncorrected formation energy is -0.99 eV/atom. Its space group is No. 70.

=====

A plane-wave DFT calculation with PBE was carried out for an optimized crystal structure of RbUGa2S6.

Lattice parameters (Å, degrees): 9.1196 9.1196 7.2977 103.44 103.44 88.91
Last column: nearest neighbours and their distance in Å.
Positions (direct):
Rb 0.0790 0.9210 0.7500  6 S 3.23-3.33
Rb 0.9210 0.0790 0.2500  6 S 3.23-3.33
U 0.2905 0.7095 0.2500  6 S 2.53-2.79
U 0.7095 0.2905 0.7500  6 S 2.53-2.79
Ga 0.2156 0.3774 0.8851  4 S 2.26-2.38
Ga 0.3774 0.2156 0.3851  4 S 2.26-2.38
Ga 0.6226 0.7844 0.6149  4 S 2.26-2.38
Ga 0.7844 0.6226 0.1149  4 S 2.26-2.38
S 0.0088 0.7348 0.2869  1 Ga 2.26
S 0.2213 0.6253 0.8847  1 Ga 2.26, 1 U 2.53
S 0.2627 0.4001 0.2211  2 Ga 2.35-2.38
S 0.2652 0.9912 0.2131  1 Ga 2.26
S 0.3747 0.7787 0.6153  1 Ga 2.26, 1 U 2.53
S 0.4001 0.2627 0.7211  2 Ga 2.35-2.38
S 0.5999 0.7373 0.2789  2 Ga 2.35-2.38
S 0.6253 0.2213 0.3847  1 Ga 2.26, 1 U 2.53
S 0.7348 0.0088 0.7869  1 Ga 2.26
S 0.7373 0.5999 0.7789  2 Ga 2.35-2.38
S 0.7787 0.3747 0.1153  1 Ga 2.26, 1 U 2.53
S 0.9912 0.2652 0.7131  1 Ga 2.26

For the total magnetic moment, the calculation gives 2.0 Bohr magnetons per cell. The value obtained for the uncorrected formation energy is -0.91 eV/atom. Its space group is No. 15.

=====

A plane-wave DFT calculation with PBE was carried out for an optimized crystal structure of Rb2VGaS4.

Lattice parameters (Å, degrees): 13.6568 12.1296 7.5380 84.53 62.14 33.33
Last column: nearest neighbours and their distance in Å.
Positions (direct):
Rb 0.0537 0.0537 0.6963  8 S 3.57-3.71
Rb 0.3037 0.3037 0.9463  8 S 3.57-3.71
Rb 0.6963 0.6963 0.0537  8 S 3.57-3.71
Rb 0.9463 0.9463 0.3037  8 S 3.57-3.71
V 0.3750 0.3750 0.3750  4 S 2.32
V 0.6250 0.6250 0.6250  4 S 2.32
Ga 0.1250 0.1250 0.1250  4 S 2.30
Ga 0.8750 0.8750 0.8750  4 S 2.30
S 0.0221 0.3316 0.4136  1 Ga 2.30, 1 V 2.32
S 0.2672 0.5864 0.6684  1 Ga 2.30, 1 V 2.32
S 0.3316 0.0221 0.7328  1 Ga 2.30, 1 V 2.32
S 0.4136 0.7328 0.0221  1 Ga 2.30, 1 V 2.32
S 0.5864 0.2672 0.9779  1 Ga 2.30, 1 V 2.32
S 0.6684 0.9779 0.2672  1 Ga 2.30, 1 V 2.32
S 0.7328 0.4136 0.3316  1 Ga 2.30, 1 V 2.32
S 0.9779 0.6684 0.5864  1 Ga 2.30, 1 V 2.32

For the total magnetic moment, the calculation gives 4.0 Bohr magnetons per cell. The value obtained for the uncorrected formation energy is -0.99 eV/atom. Its space group is No. 70.

=====

A plane-wave DFT calculation with PBE was carried out for an optimized crystal structure of RbYGaS4.

Lattice parameters (Å, degrees): 6.9054 5.7094 9.5245 90.00 105.72 90.00
Last column: nearest neighbours and their distance in Å.
Positions (direct):
Rb 0.2443 0.2500 0.4569  5 S 3.28-3.59
Rb 0.7557 0.7500 0.5431  5 S 3.28-3.59
Y 0.2457 0.2500 0.9426  8 S 2.76-3.06
Y 0.7543 0.7500 0.0574  8 S 2.76-3.06
Ga 0.2457 0.7500 0.1701  4 S 2.21-2.32
Ga 0.7543 0.2500 0.8299  4 S 2.21-2.32
S 0.0491 0.7500 0.3191  1 Ga 2.21
S 0.0805 0.7500 0.9297  1 Ga 2.26
S 0.4924 0.5170 0.8000  1 Ga 2.32
S 0.4924 0.9830 0.8000  1 Ga 2.32
S 0.5076 0.0170 0.2000  1 Ga 2.32
S 0.5076 0.4830 0.2000  1 Ga 2.32
S 0.9195 0.2500 0.0703  1 Ga 2.26
S 0.9509 0.2500 0.6809  1 Ga 2.21

For the total magnetic moment, the calculation gives 0.3 Bohr magnetons per cell. The value obtained for the uncorrected formation energy is -1.23 eV/atom. Its space group is No. 11.

=====

A plane-wave DFT calculation with PBE was carried out for an optimized crystal structure of Rb3Y3GaS8.

Lattice parameters (Å, degrees): 9.1000 9.1000 9.1000 51.65 51.65 51.65
Last column: nearest neighbours and their distance in Å.
Positions (direct):
Rb 0.0000 0.5000 0.5000  6 S 3.33-3.35
Rb 0.5000 0.0000 0.5000  6 S 3.33-3.35
Rb 0.5000 0.5000 0.0000  6 S 3.33-3.35
Y 0.0000 0.0000 0.5000  6 S 2.75-2.76
Y 0.0000 0.5000 0.0000  6 S 2.75-2.76
Y 0.5000 0.0000 0.0000  6 S 2.75-2.76
Ga 0.5000 0.5000 0.5000  6 S 2.56
S 0.2310 0.2310 0.2310  3 Y 2.75
S 0.2490 0.7156 0.7156  1 Ga 2.56, 2 Y 2.76
S 0.2844 0.2844 0.7510  1 Ga 2.56, 2 Y 2.76
S 0.2844 0.7510 0.2844  1 Ga 2.56, 2 Y 2.76
S 0.7156 0.2490 0.7156  1 Ga 2.56, 2 Y 2.76
S 0.7156 0.7156 0.2490  1 Ga 2.56, 2 Y 2.76
S 0.7510 0.2844 0.2844  1 Ga 2.56, 2 Y 2.76
S 0.7690 0.7690 0.7690  3 Y 2.75

For the total magnetic moment, the calculation gives 0.0 Bohr magnetons per cell. The value obtained for the uncorrected formation energy is -1.47 eV/atom. Its space group is No. 166.